Entry 1:
A plane-wave DFT calculation with PBEsol was carried out for a relaxed Li2LaCl crystal.

## Properties
- Excess energy over the best structure of this formula in the dataset: 0 meV per atom
- Size of the total moment: 0.0 μB/f.u.
- E_tot: -3.2930 eV per atom
- Formation energy (no corrections): -0.471 eV/atom

Cell lengths 3.4052, 5.5542, 6.3969 Å; angles 115.73, 90.00, 90.00 degrees
Positions (direct):
Li 0.0000 0.0000 0.5000
Li 0.0000 0.5000 0.5000
Cl 0.5000 0.0000 0.0000
La 0.5000 0.5000 0.0000

Entry 2:
A plane-wave DFT calculation with PBEsol was carried out for a relaxed BeInAg2Hg crystal.

## Properties
- Size of the total moment: 0.0 μB/f.u.
- E_tot: -1.7212 eV per atom

Cell lengths 5.1216, 5.1216, 5.3923 Å; angles 90.00, 90.00, 90.00 degrees
Positions (direct):
Ag 0.0000 0.5000 0.0000
Ag 0.5000 0.0000 0.0000
In 0.0000 0.0000 0.0000
Hg 0.0000 0.0000 0.5000
Be 0.5000 0.5000 0.5000

Entry 3:
A plane-wave DFT calculation with PBEsol was carried out for a relaxed GeIN2O crystal.

## Properties
- Size of the total moment: 0.0 μB/f.u.
- E_tot: -4.6044 eV per atom
- Formation energy (no corrections): 1.197 eV/atom

Cell lengths 3.5437, 3.5437, 6.7558 Å; angles 90.00, 90.00, 90.00 degrees
Positions (direct):
N 0.5000 0.0000 0.0000
N 0.0000 0.5000 0.0000
O 0.5000 0.5000 0.5000
Ge 0.0000 0.0000 0.0000
I 0.0000 0.0000 0.5000

Entry 4:
A plane-wave DFT calculation with PBEsol was carried out for a relaxed TiMnSN2 crystal.

## Properties
- Size of the total moment: 0.9 μB/f.u.
- E_tot: -7.8578 eV per atom
- Formation energy (no corrections): 0.046 eV/atom

Cell lengths 3.5602, 3.5602, 4.6274 Å; angles 90.00, 90.00, 90.00 degrees
Site moments in Bohr magnetons follow the coordinates.
Positions (direct):
Mn 0.0000 0.0000 0.0000  0.29
N 0.0000 0.5000 0.0000  -0.08
N 0.5000 0.0000 0.0000  -0.08
Ti 0.5000 0.5000 0.5000  0.72
S 0.0000 0.0000 0.5000  -0.03

Entry 5:
A plane-wave DFT calculation with PBEsol was carried out for a relaxed KZnCl2 crystal.

## Properties
- Excess energy over the best structure of this formula in the dataset: 0 meV per atom
- Size of the total moment: 0.0 μB/f.u.
- E_tot: -2.6633 eV per atom
- Formation energy (no corrections): -0.981 eV/atom

Cell lengths 3.6588, 3.7617, 7.2600 Å; angles 90.00, 90.00, 90.00 degrees
Positions (direct):
K 0.5000 0.5000 0.0000
Cl 0.0000 0.0000 0.7533
Cl 0.0000 0.0000 0.2467
Zn 0.0000 0.5000 0.5000

Entry 6:
A plane-wave DFT calculation with PBEsol was carried out for a relaxed SnH2Rh crystal.

## Properties
- Size of the total moment: 0.0 μB/f.u.
- E_tot: -4.6492 eV per atom

Cell lengths 4.0053, 4.0053, 6.3512 Å; angles 108.38, 108.38, 90.00 degrees
Positions (direct):
Rh 0.5000 0.5000 0.0000
Rh 0.7500 0.2500 0.5000
H 0.1250 0.3604 0.7500
H 0.6396 0.3750 0.2500
H 0.6250 0.3896 0.7500
H 0.6104 0.8750 0.2500
Sn 0.0000 0.0000 0.0000
Sn 0.2500 0.7500 0.5000

- Number 3 is which compound?
  GeIN2O

- Look up the size of the total moment of the first one.
  0.0 μB/f.u.

- Number 4 is which compound?
  TiMnSN2